Entry from Alexandria: an optimized crystal structure of Sb2TePdBr (PBE-GGA).

## Properties
ΔE to the lowest computed polymorph, meV per atom: 0.0
Raw formation energy, eV per atom: 0.31
E_tot, hartree per atom: -0.123

Cell and atoms, written as POSCAR:
```
Sb2TePdBr
1.0
5.3260 0.0000 0.0000
0.0000 5.3260 0.0000
0.0000 0.0000 5.2758
Sb Te Br Pd
2 1 1 1
Cartesian
0.0000 2.6630 0.0000
2.6630 0.0000 0.0000
0.0000 0.0000 2.6379
2.6630 2.6630 2.6379
0.0000 0.0000 0.0000
```